# 1
Computed, not measured: a relaxed structure of CaY2Cd at the PBE-GGA level of DFT.

Cell: 6.7420 6.7420 3.4544 Å, 101.88 101.88 120.83°
Last column: nearest neighbours and their distance in Å.
Fractional coordinates of all 4 atoms:
Ca  0.0000  0.0000  0.0000  4 Cd 3.33-3.66, 2 Ca 3.45, 4 Y 3.46
Y  0.0000  0.5000  0.5000  6 Y 3.33-3.66, 2 Cd 3.46, 2 Ca 3.46
Y  0.5000  0.0000  0.5000  6 Y 3.33-3.66, 2 Cd 3.46, 2 Ca 3.46
Cd  0.5000  0.5000  0.0000  4 Ca 3.33-3.66, 2 Cd 3.45, 4 Y 3.46

Output
The value obtained for the density of states at the Fermi level is 5.20 states/eV per cell. The formation enthalpy at 0 K is 0.022 eV per atom. The space group is No. 12.



# 2
Computed, not measured: a relaxed structure of Ca2YCd3 at the PBE-GGA level of DFT.

Cell: 5.3702 5.3702 6.5924 Å, 90.00 90.00 120.00°
Last column: nearest neighbours and their distance in Å.
Fractional coordinates of all 6 atoms:
Ca  0.3333  0.6667  0.1654  8 Cd 3.25-3.35
Ca  0.6667  0.3333  0.8346  8 Cd 3.25-3.35
Y  0.0000  0.0000  0.5000  8 Cd 3.27-3.30
Cd  0.0000  0.0000  0.0000  6 Ca 3.29, 2 Y 3.30
Cd  0.3333  0.6667  0.6580  5 Ca 3.25-3.35, 3 Y 3.27
Cd  0.6667  0.3333  0.3420  5 Ca 3.25-3.35, 3 Y 3.27

Output
The value obtained for the density of states at the Fermi level is 3.94 states/eV per cell. The formation enthalpy at 0 K is -0.361 eV per atom. The space group is No. 164. The relative energy among the computed polymorphs comes out at 0.000 eV per atom.



# 3
Computed, not measured: a relaxed structure of CaY4Cd at the PBE-GGA level of DFT.

Cell: 6.5462 6.5462 6.5462 Å, 60.00 60.00 60.00°
Last column: nearest neighbours and their distance in Å.
Fractional coordinates of all 6 atoms:
Ca  0.0000  0.0000  0.0000  12 Y 3.84, 4 Cd 4.01
Y  0.3756  0.3756  0.3756  6 Y 3.26-3.29
Y  0.3756  0.3756  0.8732  6 Y 3.26-3.29
Y  0.3756  0.8732  0.3756  6 Y 3.26-3.29
Y  0.8732  0.3756  0.3756  6 Y 3.26-3.29
Cd  0.7500  0.7500  0.7500  12 Y 3.84, 4 Ca 4.01

Output
The value obtained for the density of states at the Fermi level is 6.91 states/eV per cell. The formation enthalpy at 0 K is 0.238 eV per atom. The space group is No. 216.



# 4
Computed, not measured: a relaxed structure of CaY2Cd at the PBE-GGA level of DFT.

Cell: 5.0674 5.0674 4.6598 Å, 90.00 90.00 90.00°
Last column: nearest neighbours and their distance in Å.
Fractional coordinates of all 4 atoms:
Ca  0.0000  0.0000  0.0000  8 Y 3.44, 4 Cd 3.58
Y  0.0000  0.5000  0.5000  4 Cd 3.44, 4 Ca 3.44, 4 Y 3.58
Y  0.5000  0.0000  0.5000  4 Cd 3.44, 4 Ca 3.44, 4 Y 3.58
Cd  0.5000  0.5000  0.0000  8 Y 3.44, 4 Ca 3.58

Output
The value obtained for the density of states at the Fermi level is 4.38 states/eV per cell. The formation enthalpy at 0 K is -0.054 eV per atom. The space group is No. 123.



# 5
Computed, not measured: a relaxed structure of CaY2Cd at the PBE-GGA level of DFT.

Cell: 7.1035 7.1035 7.1035 Å, 102.38 102.38 124.83°
Last column: nearest neighbours and their distance in Å.
Fractional coordinates of all 8 atoms:
Ca  0.0000  0.0000  0.0000  2 Cd 3.29, 4 Y 3.54
Ca  0.7500  0.2500  0.5000  2 Cd 3.29, 4 Y 3.54
Y  0.1700  0.6250  0.0450  2 Cd 2.99
Y  0.3750  0.4200  0.5450  2 Cd 2.99
Y  0.5800  0.1250  0.9550  2 Cd 2.99
Y  0.8750  0.8300  0.4550  2 Cd 2.99
Cd  0.2500  0.7500  0.5000  4 Y 2.99, 2 Ca 3.29
Cd  0.5000  0.5000  0.0000  4 Y 2.99, 2 Ca 3.29

Output
The value obtained for the density of states at the Fermi level is 5.18 states/eV per cell. The formation enthalpy at 0 K is 0.131 eV per atom. The space group is No. 122.



# 6
Computed, not measured: a relaxed structure of CaY2Cd at the PBE-GGA level of DFT.

Cell: 5.5566 5.5566 5.5566 Å, 60.00 60.00 60.00°
Last column: nearest neighbours and their distance in Å.
Fractional coordinates of all 4 atoms:
Ca  0.0000  0.0000  0.0000  4 Cd 3.40, 4 Y 3.40
Y  0.5000  0.5000  0.5000  4 Cd 3.40, 4 Y 3.40
Y  0.7500  0.7500  0.7500  4 Ca 3.40, 4 Y 3.40
Cd  0.2500  0.2500  0.2500  4 Ca 3.40, 4 Y 3.40

Output
The value obtained for the density of states at the Fermi level is 2.70 states/eV per cell. The formation enthalpy at 0 K is 0.027 eV per atom. The space group is No. 216.



Which electronic total energy belongs to each record? In order, -3.939 -2.563 -4.558 -4.016 -3.831 -3.934 eV per atom.